Material: BaCd2CoO4
Method: DFT, PBE+U
State: relaxed

The space group is Cmcm (No. 63) and the conventional cell measures 3.493, 11.791 and 11.721 Å, with angles of 90.00, 90.00 and 90.00 degrees. Symmetry generates all atoms from Ba at (0.000, 0.111, 0.250), Cd at (0.000, 0.370, 0.041), Co at (0.000, 0.153, 0.750), O at (0.000, 0.000, 0.000), O at (0.000, 0.257, 0.619) and O at (0.000, 0.432, 0.250).

Material: Ba2CdCoO
Method: DFT, PBE+U
State: relaxed

The space group is P4/mmm (No. 123) and the conventional cell measures 6.311, 6.311 and 4.801 Å, with angles of 90.00, 90.00 and 90.00 degrees. Symmetry generates all atoms from Ba at (0.000, 0.500, 0.000), Cd at (0.000, 0.000, 0.000), Co at (0.000, 0.000, 0.500) and O at (0.500, 0.500, 0.500).

| no. | total DFT energy (no corrections) (eV/atom) |
| --- | --- |
| 1 | -4.945 |
| 2 | -2.511 |